# CaFeO3, optimized geometry, DFT PBEsol
# Formation energy (no corrections): -80 meV per atom
# Crystal system: cubic
data_CaFeO3
_cell_length_a 4.164
_cell_length_b 4.164
_cell_length_c 4.164
_cell_angle_alpha 90.00
_cell_angle_beta 90.00
_cell_angle_gamma 90.00
_space_group_name_H-M_alt 'P m -3 m'
_space_group_IT_number 221
_space_group_name_Hall '-P 4 2 3'
loop_
_atom_site_label
_atom_site_type_symbol
_atom_site_fract_x
_atom_site_fract_y
_atom_site_fract_z
Ca1 Ca 0.000 0.000 0.000
Fe1 Fe 0.500 0.500 0.500
O1 O 0.000 0.000 0.500

# KSr2Mg, optimized geometry, DFT PBEsol
# Crystal system: tetragonal
# ΔH_f (0 K): 0.03 eV/atom
data_KSr2Mg
_cell_length_a 4.152
_cell_length_b 4.152
_cell_length_c 10.933
_cell_angle_alpha 90.00
_cell_angle_beta 90.00
_cell_angle_gamma 90.00
_space_group_name_H-M_alt 'P 4/m m m'
_space_group_IT_number 123
_space_group_name_Hall '-P 4 2'
loop_
_atom_site_label
_atom_site_type_symbol
_atom_site_fract_x
_atom_site_fract_y
_atom_site_fract_z
K1 K 0.000 0.000 0.000
Sr1 Sr 0.500 0.500 0.314
Mg1 Mg 0.000 0.000 0.500

# TcAs2Se, optimized geometry, DFT PBEsol
# Formation energy (no corrections): 397 meV per atom
# Crystal system: tetragonal
data_TcAs2Se
_cell_length_a 4.123
_cell_length_b 4.123
_cell_length_c 7.632
_cell_angle_alpha 90.00
_cell_angle_beta 90.00
_cell_angle_gamma 90.00
_space_group_name_H-M_alt 'I 4/m m m'
_space_group_IT_number 139
_space_group_name_Hall '-I 4 2'
loop_
_atom_site_label
_atom_site_type_symbol
_atom_site_fract_x
_atom_site_fract_y
_atom_site_fract_z
Tc1 Tc 0.000 0.000 0.000
As1 As 0.000 0.500 0.250
Se1 Se 0.000 0.000 0.500

# NiOsRh2, optimized geometry, DFT PBEsol
# Crystal system: tetragonal
# ΔH_f (0 K): 0.08 eV/atom
data_NiOsRh2
_cell_length_a 2.657
_cell_length_b 2.657
_cell_length_c 7.294
_cell_angle_alpha 90.00
_cell_angle_beta 90.00
_cell_angle_gamma 90.00
_space_group_name_H-M_alt 'P 4 m m'
_space_group_IT_number 99
loop_
_space_group_symop_operation_xyz
'x,y,z'
'-y,x,z'
'-x,-y,z'
'y,-x,z'
'-x,y,z'
'y,x,z'
'x,-y,z'
'-y,-x,z'
loop_
_atom_site_label
_atom_site_type_symbol
_atom_site_fract_x
_atom_site_fract_y
_atom_site_fract_z
Ni1 Ni 0.000 0.000 0.000
Os1 Os 0.500 0.500 0.236
Rh1 Rh 0.000 0.000 0.493
Rh2 Rh 0.500 0.500 0.759